First-principles (PBE) data for crystalline SiBAu2 at its relaxed geometry, as listed in Alexandria.

Energy above the lowest structure with this stoichiometry in meV/atom: 0.0
D(E_F) in states/eV per atom: 0.474
Uncorrected formation energy in eV/atom: 0.499

Lattice parameters (Å, degrees): 4.7963 4.7963 12.5071 90.00 90.00 90.00
Closest atoms and distances in Å follow each position.
Space group I-42d (No. 122)
One atom of each set of equivalent atoms:
Si: 0.0000 0.0000 0.0000  4 Au 2.47
B: 0.0000 0.0000 0.5000  4 Au 2.17
Au: 0.1903 0.2500 0.6250  2 B 2.17